Record 1
Density functional theory data (PBE) for a relaxed structure of FeNiW2.

```
FeNiW2
1.0
8.819 0.007 0.004
8.401 2.682 0.004
8.401 1.312 2.339
Fe Ni W
1 1 2
direct
0.250 0.250 0.250 Fe
0.750 0.750 0.750 Ni
0.999 0.999 0.999 W
0.501 0.501 0.501 W
```

Calculated formation energy: 0.30 eV/atom
Space-group type: R-3m (166)
Crystal system: trigonal
Energy relative to the lowest polymorph listed for this composition: 226.3 meV/atom

Record 2
Density functional theory data (PBE) for a relaxed structure of Na2Ca2Sn.

```
Na2Ca2Sn
1.0
8.168 0.000 0.000
0.000 8.168 0.000
0.000 0.000 5.915
Na Ca Sn
4 4 2
direct
0.160 0.660 0.500 Na
0.660 0.840 0.500 Na
0.840 0.340 0.500 Na
0.340 0.160 0.500 Na
0.339 0.839 0.000 Ca
0.839 0.661 0.000 Ca
0.661 0.161 0.000 Ca
0.161 0.339 0.000 Ca
0.000 0.000 0.000 Sn
0.500 0.500 0.000 Sn
```

Calculated formation energy: -0.05 eV/atom
Space-group type: P4/mbm (127)
Crystal system: tetragonal
Energy relative to the lowest polymorph listed for this composition: 37.2 meV/atom

Record 3
Density functional theory data (PBE) for a relaxed structure of ZrHg2Cl.

```
ZrHg2Cl
1.0
-4.699 -3.577 1.795
-1.098 -1.786 5.806
1.296 4.991 -3.393
Cl Hg Zr
1 2 1
direct
0.750 0.250 0.500 Cl
0.000 0.000 0.000 Hg
0.500 0.500 0.000 Hg
0.250 0.750 0.500 Zr
```

Space-group type: I4/mmm (139)
Crystal system: tetragonal
Energy relative to the lowest polymorph listed for this composition: 475.8 meV/atom

Record 4
Density functional theory data (PBE) for a relaxed structure of SiPd2Au2.

```
SiPd2Au2
1.0
6.217 0.000 0.000
0.000 6.217 0.000
0.000 0.000 4.434
Si Au Pd
2 4 4
direct
0.000 0.000 0.000 Si
0.500 0.500 0.000 Si
0.160 0.660 0.500 Au
0.660 0.840 0.500 Au
0.840 0.340 0.500 Au
0.340 0.160 0.500 Au
0.346 0.846 0.000 Pd
0.846 0.654 0.000 Pd
0.654 0.154 0.000 Pd
0.154 0.346 0.000 Pd
```

Uncorrected energy: -4.6371 eV/atom
Space-group type: P4/mbm (127)
Crystal system: tetragonal

Record 5
Density functional theory data (PBE) for a relaxed structure of CaNiSb2.

```
CaNiSb2
1.0
-3.254 0.711 3.199
-3.242 -1.397 -2.978
0.464 -3.950 1.349
Sb Ca Ni
2 1 1
direct
0.000 0.000 0.000 Sb
0.500 0.500 0.000 Sb
0.500 0.000 0.500 Ca
0.000 0.500 0.500 Ni
```

Uncorrected energy: -4.1915 eV/atom
Space-group type: Cmmm (65)
Crystal system: orthorhombic

Record 6
Density functional theory data (PBE) for a relaxed structure of Sm3Zn3Cu2.

```
Sm3Zn3Cu2
1.0
5.427 0.000 0.000
0.000 8.039 0.000
0.000 0.000 15.528
Sm Zn Cu
12 12 8
direct
0.127 0.455 0.394 Sm
0.627 0.045 0.606 Sm
0.873 0.545 0.894 Sm
0.373 0.955 0.106 Sm
0.873 0.545 0.606 Sm
0.373 0.955 0.394 Sm
0.127 0.455 0.106 Sm
0.627 0.045 0.894 Sm
0.630 0.320 0.250 Sm
0.130 0.180 0.750 Sm
0.370 0.680 0.750 Sm
0.870 0.820 0.250 Sm
0.124 0.164 0.250 Zn
0.624 0.336 0.750 Zn
0.876 0.836 0.750 Zn
0.376 0.664 0.250 Zn
0.610 0.317 0.464 Zn
0.110 0.183 0.536 Zn
0.390 0.683 0.964 Zn
0.890 0.817 0.036 Zn
0.390 0.683 0.536 Zn
0.890 0.817 0.464 Zn
0.610 0.317 0.036 Zn
0.110 0.183 0.964 Zn
0.880 0.106 0.392 Cu
0.380 0.394 0.608 Cu
0.120 0.894 0.892 Cu
0.620 0.606 0.108 Cu
0.120 0.894 0.608 Cu
0.620 0.606 0.392 Cu
0.880 0.106 0.108 Cu
0.380 0.394 0.892 Cu
```

Calculated formation energy: -0.28 eV/atom
Space-group type: Pnma (62)
Crystal system: orthorhombic
Energy relative to the lowest polymorph listed for this composition: 14.2 meV/atom

Record 7
Density functional theory data (PBE) for a relaxed structure of LaHRhS2.

```
LaHRhS2
1.0
-2.630 -2.897 2.739
3.967 -2.231 1.449
0.308 2.363 2.795
H S Rh La
1 2 1 1
direct
0.000 0.000 0.500 H
0.000 0.500 0.000 S
0.500 0.000 0.000 S
0.000 0.000 0.000 Rh
0.500 0.500 0.500 La
```

Uncorrected energy: -5.8519 eV/atom
Space-group type: P4/mmm (123)
Crystal system: tetragonal

Record 8
Density functional theory data (PBE) for a relaxed structure of PrGd2Ag.

```
PrGd2Ag
1.0
5.414 0.000 0.000
2.707 4.688 0.000
2.707 1.563 4.420
Pr Gd Ag
1 2 1
direct
0.000 0.000 0.000 Pr
0.250 0.250 0.250 Gd
0.750 0.750 0.750 Gd
0.500 0.500 0.500 Ag
```

Calculated formation energy: 0.03 eV/atom
Space-group type: Fm-3m (225)
Crystal system: cubic
Energy relative to the lowest polymorph listed for this composition: 167.4 meV/atom

Record 9
Density functional theory data (PBE) for a relaxed structure of ZrCrP2S.

```
ZrCrP2S
1.0
5.012 0.000 0.000
0.000 5.012 0.000
0.000 0.000 4.844
Cr S Zr P
1 1 1 2
direct
0.500 0.500 0.500 Cr
0.000 0.000 0.500 S
0.000 0.000 0.000 Zr
0.000 0.500 0.000 P
0.500 0.000 0.000 P
```

Space-group type: P4/mmm (123)
Crystal system: tetragonal
Energy relative to the lowest polymorph listed for this composition: 821.3 meV/atom

Record 10
Density functional theory data (PBE) for a relaxed structure of ZnBS2.

```
ZnBS2
1.0
-0.353 5.518 1.507
-1.599 1.354 -5.334
-4.591 2.943 -0.955
Zn B S
2 2 4
direct
0.000 0.000 0.000 Zn
0.750 0.250 0.500 Zn
0.500 0.500 0.000 B
0.250 0.750 0.500 B
0.538 0.125 0.250 S
0.212 0.625 0.250 S
0.375 0.462 0.750 S
0.875 0.788 0.750 S
```

Space-group type: I-42d (122)
Crystal system: tetragonal
Energy relative to the lowest polymorph listed for this composition: 0.0 meV/atom

Record 11
Density functional theory data (PBE) for a relaxed structure of Sm3AgHg2.

```
Sm3AgHg2
1.0
-0.145 3.599 -1.086
-3.757 -0.095 0.187
0.456 3.284 10.820
Sm Ag Hg
3 1 2
direct
0.000 0.000 0.000 Sm
0.000 0.000 0.662 Sm
0.000 0.000 0.338 Sm
0.500 0.500 0.500 Ag
0.500 0.500 0.832 Hg
0.500 0.500 0.168 Hg
```

Calculated formation energy: -0.41 eV/atom
Space-group type: P4/mmm (123)
Crystal system: tetragonal
Energy relative to the lowest polymorph listed for this composition: 4.1 meV/atom

Record 12
Density functional theory data (PBE) for a relaxed structure of Pr2Ag3Rh.

```
Pr2Ag3Rh
1.0
3.697 0.000 0.000
0.000 4.773 0.000
0.000 0.000 8.112
Pr Ag Rh
2 3 1
direct
0.000 0.500 0.040 Pr
0.000 0.000 0.477 Pr
0.500 0.000 0.828 Ag
0.500 0.000 0.163 Ag
0.500 0.500 0.665 Ag
0.500 0.500 0.327 Rh
```

Calculated formation energy: -0.30 eV/atom
Space-group type: Pmm2 (25)
Crystal system: orthorhombic

Record 13
Density functional theory data (PBE) for a relaxed structure of TaW.

```
TaW
1.0
3.847 0.000 0.000
0.000 3.847 0.000
0.000 0.000 4.714
Ta W
2 2
direct
0.250 0.250 0.500 Ta
0.750 0.750 0.500 Ta
0.250 0.750 0.000 W
0.750 0.250 0.000 W
```

Calculated formation energy: 0.23 eV/atom
Space-group type: P4/mmm (123)
Crystal system: tetragonal

Record 14
Density functional theory data (PBE) for a relaxed structure of SrSnAu4.

```
SrSnAu4
1.0
-4.090 -0.744 -3.944
1.424 -0.724 -5.503
-0.685 -5.116 -2.488
Sr Au Sn
1 4 1
direct
0.250 0.250 0.250 Sr
0.625 0.625 0.125 Au
0.625 0.125 0.625 Au
0.625 0.625 0.625 Au
0.125 0.625 0.625 Au
0.000 0.000 0.000 Sn
```

Calculated formation energy: -0.41 eV/atom
Space-group type: F-43m (216)
Crystal system: cubic
Energy relative to the lowest polymorph listed for this composition: 8.1 meV/atom

Record 15
Density functional theory data (PBE) for a relaxed structure of Li2BiAsS4.

```
Li2BiAsS4
1.0
3.836 0.000 0.000
0.000 6.626 -0.130
0.000 2.341 6.242
Li Bi As S
2 1 1 4
direct
0.000 0.000 0.000 Li
0.500 0.000 0.500 Li
0.000 0.500 0.500 Bi
0.500 0.500 0.000 As
0.000 0.745 0.771 S
0.000 0.255 0.229 S
0.500 0.758 0.227 S
0.500 0.242 0.773 S
```

Uncorrected energy: -4.2318 eV/atom
Space-group type: P2/m (10)
Crystal system: monoclinic

Record 16
Density functional theory data (PBE) for a relaxed structure of HfFePt2I.

```
HfFePt2I
1.0
4.919 0.000 0.000
0.000 5.189 0.000
0.000 0.000 4.919
I Hf Fe Pt
1 1 1 2
direct
0.000 0.000 0.000 I
0.000 0.500 0.000 Hf
0.500 0.500 0.500 Fe
0.000 0.000 0.500 Pt
0.500 0.000 0.000 Pt
```

Uncorrected energy: -4.9895 eV/atom
Space-group type: P4/mmm (123)
Crystal system: tetragonal

Record 17
Density functional theory data (PBE) for a relaxed structure of Cd2GePb2.

```
Cd2GePb2
1.0
8.617 0.000 0.000
0.000 8.617 0.000
0.000 0.000 3.731
Pb Ge Cd
4 2 4
direct
0.320 0.820 0.000 Pb
0.820 0.680 0.000 Pb
0.680 0.180 0.000 Pb
0.180 0.320 0.000 Pb
0.000 0.000 0.000 Ge
0.500 0.500 0.000 Ge
0.123 0.623 0.500 Cd
0.623 0.877 0.500 Cd
0.877 0.377 0.500 Cd
0.377 0.123 0.500 Cd
```

Calculated formation energy: 0.28 eV/atom
Space-group type: P4/mbm (127)
Crystal system: tetragonal
Energy relative to the lowest polymorph listed for this composition: 123.1 meV/atom

Record 18
Density functional theory data (PBE) for a relaxed structure of Pr7DyTm12.

```
Pr7DyTm12
1.0
-8.063 -0.644 3.367
2.665 1.278 8.248
-1.453 8.638 -0.208
Pr Dy Tm
7 1 12
direct
0.842 0.602 0.920 Pr
0.398 0.080 0.158 Pr
0.080 0.158 0.398 Pr
0.500 0.500 0.500 Pr
0.920 0.842 0.602 Pr
0.602 0.920 0.842 Pr
0.158 0.398 0.080 Pr
0.000 0.000 0.000 Dy
0.857 0.254 0.727 Tm
0.746 0.273 0.143 Tm
0.616 0.136 0.497 Tm
0.864 0.503 0.384 Tm
0.273 0.143 0.746 Tm
0.503 0.384 0.864 Tm
0.497 0.616 0.136 Tm
0.727 0.857 0.254 Tm
0.136 0.497 0.616 Tm
0.384 0.864 0.503 Tm
0.254 0.727 0.857 Tm
0.143 0.746 0.273 Tm
```

Calculated formation energy: 0.23 eV/atom
Space-group type: R-3 (148)
Crystal system: trigonal
Energy relative to the lowest polymorph listed for this composition: 0.0 meV/atom

The following V values (in Å³ per atom) correspond, in order, to the records above: 13.8 39.5 22.1 17.1 22.4 21.2 16.8 28.0 24.3 15.5 26.7 23.9 17.4 22.2 20.0 25.1 27.7 33.4.